Entry 1:
A geometry-optimized Ac3Sn4Pb2 structure, computed with GGA-PBE.

Unit cell a=4.674 b=8.593 c=8.593 alpha=120.00 beta=90.00 gamma=90.00
Fractional positions:
Sn 0.000 0.260 0.260
Sn 0.500 0.000 0.000
Sn 0.000 0.740 0.000
Pb 0.000 0.333 0.667
Sn 0.000 0.000 0.740
Ac 0.500 0.000 0.385
Ac 0.500 0.385 0.000
Pb 0.000 0.667 0.333
Ac 0.500 0.615 0.615

Summary:
- DFT formation energy (kJ/mol of formula units) = -398.7
- crystal system = hexagonal



Entry 2:
A geometry-optimized Ac2SnPb9 structure, computed with GGA-PBE.

Unit cell a=5.046 b=5.046 c=15.090 alpha=90.00 beta=90.00 gamma=90.00
Fractional positions:
Ac 0.000 0.000 0.336
Pb 0.500 0.500 0.671
Pb 0.500 0.500 0.000
Pb 0.000 0.500 0.500
Pb 0.000 0.500 0.158
Pb 0.500 0.000 0.842
Pb 0.500 0.500 0.329
Pb 0.500 0.000 0.500
Pb 0.000 0.500 0.842
Ac 0.000 0.000 0.664
Pb 0.500 0.000 0.158
Sn 0.000 0.000 0.000

Summary:
- DFT formation energy (kJ/mol of formula units) = -276.6
- crystal system = tetragonal



Entry 3:
A geometry-optimized Ac7SnPb5 structure, computed with GGA-PBE.

Unit cell a=6.775 b=9.213 c=9.213 alpha=84.77 beta=68.43 gamma=68.43
Fractional positions:
Ac 0.007 0.317 0.669
Ac 0.532 0.807 0.129
Ac 0.285 0.215 0.215
Sn 0.936 0.064 0.064
Ac 0.007 0.669 0.317
Ac 0.532 0.129 0.807
Ac 0.640 0.360 0.360
Pb 0.018 0.479 0.991
Pb 0.779 0.721 0.721
Ac 0.223 0.777 0.777
Pb 0.018 0.991 0.479
Pb 0.512 0.991 0.479
Pb 0.512 0.479 0.991

Summary:
- DFT formation energy (kJ/mol of formula units) = -449.3
- crystal system = orthorhombic